20
Lattice="-6.2047 1.4646 4.4642 -4.1727 1.0435 6.4863 0.3368 8.0988 1.3479" Properties=species:S:1:pos:R:3 comment="Li3MnCoO5 (PBE with a Hubbard U, relaxed)" total_energy_ev_per_atom=-5.924 relative_energy_ev_per_fu=0.38 magmom_total_mub_per_atom=0.5000 pbc="T T T"
O -8.0463 4.7773 9.0804
O -1.8914 1.7940 2.2742
O -5.7979 9.3333 7.7697
O -4.2644 1.4417 4.5855
O -0.0439 1.9345 0.4469
O 0.2314 6.2546 1.0698
O -3.9144 5.4219 5.0625
O -6.1834 5.0235 7.2597
O -1.9111 5.5607 3.0783
O -7.9676 8.8321 9.8456
Li -10.0865 6.6976 11.5304
Li -5.9628 7.1835 7.4877
Li -3.9177 7.4645 5.4911
Li -4.0851 3.4903 4.8318
Li -1.8153 7.7878 3.4458
Li -8.3123 2.6648 8.9079
Co -6.1484 3.1202 6.8282
Co -8.1444 7.0607 9.6544
Mn -1.9446 3.7104 2.7268
Mn -10.0324 10.5648 12.2813